Material: CsK2HfBr8
Method: DFT, GGA-PBE
State: optimized geometry

Unit cell a=6.314 b=7.566 c=10.367 alpha=89.96 beta=89.69 gamma=89.35
Positions (direct):
Cs 0.000 0.000 0.000
K 0.497 0.500 0.280
K 0.503 0.500 0.720
Hf 0.000 0.000 0.500
Br 0.214 0.701 0.502
Br 0.240 0.128 0.683
Br 0.243 0.125 0.316
Br 0.243 0.506 0.000
Br 0.757 0.494 0.000
Br 0.757 0.875 0.684
Br 0.760 0.872 0.317
Br 0.786 0.299 0.498

**Fermi-level density of states**: 0.108 states/eV/atom
**E**: -3.65 eV/atom